1 | # LaPrSe2

A relaxed LaPrSe2 crystal (GGA-PBE, Alexandria via LeMat-Bulk).

The space group is P6_3/mmc (No. 194) and the conventional cell measures 4.2403, 4.2403 and 14.3671 Å, with angles of 90.00, 90.00 and 120.00 degrees. The asymmetric unit holds La at (0.0000, 0.0000, 0.0000), Pr at (0.3333, 0.6667, 0.2500) and Se at (0.3333, 0.6667, 0.6242).

The value obtained for the density of states at the Fermi level is 0.343 states/eV per atom. The calculated density comes out at 6.498 g/cm3. The value obtained for the total magnetization is 0.00 μB/atom. Its crystal system is hexagonal.


2 | # LaPrSe2

A relaxed LaPrSe2 crystal (GGA-PBE, Alexandria via LeMat-Bulk).

The space group is R3m (No. 160, hexagonal axes) and the conventional cell measures 4.1912, 4.1912 and 22.2957 Å, with angles of 90.00, 90.00 and 120.00 degrees. The asymmetric unit holds La at (0.0000, 0.0000, 0.0000), Pr at (0.0000, 0.0000, 0.1768), Se at (0.0000, 0.0000, 0.5865) and Se at (0.0000, 0.0000, 0.7566).

The value obtained for the density of states at the Fermi level is 0.294 states/eV per atom. The calculated density comes out at 6.429 g/cm3. The value obtained for the total magnetization is 0.00 μB/atom. Its crystal system is trigonal.


It is 1 that is most stable; the runner-up trails by 44 meV/atom.


1 | # LaPrSe2

A relaxed LaPrSe2 crystal (GGA-PBE, Alexandria via LeMat-Bulk).

The space group is R-3m (No. 166, hexagonal axes) and the conventional cell measures 4.2986, 4.2986 and 20.9182 Å, with angles of 90.00, 90.00 and 120.00 degrees. The asymmetric unit holds La at (0.0000, 0.0000, 0.0000), Pr at (0.0000, 0.0000, 0.5000) and Se at (0.0000, 0.0000, 0.2494).

The value obtained for the density of states at the Fermi level is 0.510 states/eV per atom. The calculated density comes out at 6.514 g/cm3. The value obtained for the total magnetization is 0.00 μB/atom. Its crystal system is trigonal.


2 | # LaPrSe2

A relaxed LaPrSe2 crystal (GGA-PBE, Alexandria via LeMat-Bulk).

The space group is I4_1/amd (No. 141, origin choice 2) and the conventional cell measures 6.065, 6.065 and 12.145 Å, with angles of 90.00, 90.00 and 90.00 degrees. The asymmetric unit holds La at (0.000, 0.250, 0.375), Pr at (0.000, 0.250, 0.875) and Se at (0.000, 0.250, 0.125).

The value obtained for the density of states at the Fermi level is 0.536 states/eV per atom. The calculated density comes out at 6.508 g/cm3. The value obtained for the total magnetization is 0.00 μB/atom. Its crystal system is tetragonal.


It is 1 that is most stable; the runner-up trails by 6 meV/atom.


1 | # La3PrSe6

A relaxed La3PrSe6 crystal (GGA-PBE, Alexandria via LeMat-Bulk).

The space group is C2/m (No. 12) and the conventional cell measures 13.502, 7.865 and 7.513 Å, with angles of 90.00, 123.28 and 90.00 degrees. The asymmetric unit holds La at (0.000, 0.000, 0.000), La at (0.250, 0.000, 0.697), Pr at (0.000, 0.500, 0.500), Se at (0.092, 0.250, 0.343) and Se at (0.248, 0.500, 0.910).

The calculated density comes out at 5.135 g/cm3. The value obtained for the total magnetization is 0.00 μB/atom. Its crystal system is monoclinic.


2 | # La3PrSe6

A relaxed La3PrSe6 crystal (GGA-PBE, Alexandria via LeMat-Bulk).

The space group is P2_1/m (No. 11) and the conventional cell measures 11.982, 4.337 and 12.368 Å, with angles of 90.00, 107.96 and 90.00 degrees. The asymmetric unit holds La at (0.071, 0.250, 0.170), La at (0.183, 0.750, 0.506), La at (0.339, 0.250, 0.918), Pr at (0.456, 0.250, 0.311), Se at (0.022, 0.250, 0.388), Se at (0.098, 0.250, 0.935), Se at (0.249, 0.750, 0.280), Se at (0.313, 0.750, 0.752), Se at (0.390, 0.250, 0.539) and Se at (0.416, 0.750, 0.101).

The calculated density comes out at 5.603 g/cm3. The value obtained for the total magnetization is 0.00 μB/atom. Its crystal system is monoclinic.


It is 2 that is most stable; the runner-up trails by 129 meV/atom.


1 | # LaPr5Sm5

A relaxed LaPr5Sm5 crystal (GGA-PBE, Alexandria via LeMat-Bulk).

The space group is C2/m (No. 12) and the conventional cell measures 19.282, 6.171 and 7.125 Å, with angles of 90.00, 111.51 and 90.00 degrees. The asymmetric unit holds La at (0.000, 0.000, 0.000), Pr at (0.000, 0.500, 0.000), Pr at (0.175, 0.000, 0.418), Pr at (0.175, 0.000, 0.931), Sm at (0.000, 0.000, 0.500), Sm at (0.124, 0.500, 0.625) and Sm at (0.171, 0.500, 0.172).

The value obtained for the density of states at the Fermi level is 1.683 states/eV per atom. The calculated density comes out at 6.717 g/cm3. The value obtained for the total magnetization is 0.02 μB/atom. Its crystal system is monoclinic.


2 | # LaPr5Sm5

A relaxed LaPr5Sm5 crystal (GGA-PBE, Alexandria via LeMat-Bulk).

The space group is P-1 (No. 2) and the conventional cell measures 7.097, 7.120 and 8.656 Å, with angles of 75.55, 76.80 and 71.75 degrees. The asymmetric unit holds La at (0.000, 0.000, 0.000), Pr at (0.000, 0.500, 0.000), Pr at (0.149, 0.141, 0.356), Pr at (0.362, 0.754, 0.725), Sm at (0.218, 0.646, 0.298), Sm at (0.312, 0.290, 0.649) and Sm at (0.500, 0.000, 0.000).

The value obtained for the density of states at the Fermi level is 1.474 states/eV per atom. The calculated density comes out at 6.675 g/cm3. The value obtained for the total magnetization is 0.00 μB/atom. Its crystal system is triclinic.


It is 2 that is most stable; the runner-up trails by 88 meV/atom.